VASP calculation (PBE) on crystalline Li4Cd3Au4 at its relaxed geometry.

Output
Its crystal system is orthorhombic.

a b c (Å): 8.3140 8.3140 8.3140
angles (deg): 152.75 127.81 59.87
Closest atoms and distances in Å follow each position.
Atoms (fractional coordinates):
Li 0.0260 0.8318 0.1942  4 Au 2.55-2.67, 1 Li 2.84
Li 0.3623 0.1682 0.1942  4 Au 2.55-2.67, 1 Li 2.84
Li 0.6377 0.8318 0.8058  4 Au 2.55-2.67, 1 Li 2.84
Li 0.9740 0.1682 0.8058  4 Au 2.55-2.67, 1 Li 2.84
Cd 0.0000 0.5000 0.5000  4 Au 2.96
Cd 0.3791 0.3791 0.0000  6 Au 2.90-2.99, 4 Li 3.05
Cd 0.6209 0.6209 0.0000  6 Au 2.90-2.99, 4 Li 3.05
Au 0.2306 0.7306 0.5000  6 Li 2.58-2.67
Au 0.3039 0.0000 0.3039  2 Li 2.55
Au 0.6961 0.0000 0.6961  2 Li 2.55
Au 0.7694 0.2694 0.5000  6 Li 2.58-2.67

=====

VASP calculation (PBE) on crystalline Li2CdAu2 at its relaxed geometry.

Output
Its crystal system is monoclinic.

a b c (Å): 4.9893 4.9893 6.4265
angles (deg): 129.55 129.55 48.46
Closest atoms and distances in Å follow each position.
Atoms (fractional coordinates):
Li 0.0814 0.0814 0.3874  1 Li 2.70, 6 Au 2.83-2.88, 3 Cd 2.89-3.01
Li 0.9186 0.9186 0.6126  1 Li 2.70, 6 Au 2.83-2.88, 3 Cd 2.89-3.01
Cd 0.5000 0.5000 0.0000  6 Au 2.87-2.97, 6 Li 2.89-3.01
Au 0.2993 0.2993 0.2160  6 Li 2.83-2.88, 3 Au 2.84-3.04, 3 Cd 2.87-2.97
Au 0.7007 0.7007 0.7840  6 Li 2.83-2.88, 3 Au 2.84-3.04, 3 Cd 2.87-2.97

=====

VASP calculation (PBE) on crystalline LiCd12Au6 at its relaxed geometry.

Output
Its crystal system is trigonal.

a b c (Å): 8.0305 8.0305 8.0305
angles (deg): 110.75 110.75 110.75
Closest atoms and distances in Å follow each position.
Atoms (fractional coordinates):
Li 0.0000 0.0000 0.0000  12 Cd 3.06-3.08
Cd 0.1121 0.7431 0.1704  6 Cd 2.97-3.16, 5 Au 2.99-3.07, 1 Li 3.06
Cd 0.1704 0.1121 0.7431  6 Cd 2.97-3.16, 5 Au 2.99-3.07, 1 Li 3.06
Cd 0.2052 0.4752 0.3215  4 Au 2.94-3.07, 7 Cd 2.97-3.16, 1 Li 3.08
Cd 0.2569 0.8296 0.8879  6 Cd 2.97-3.16, 5 Au 2.99-3.07, 1 Li 3.06
Cd 0.3215 0.2052 0.4752  4 Au 2.94-3.07, 7 Cd 2.97-3.16, 1 Li 3.08
Cd 0.4752 0.3215 0.2052  4 Au 2.94-3.07, 7 Cd 2.97-3.16, 1 Li 3.08
Cd 0.5248 0.6785 0.7948  4 Au 2.94-3.07, 7 Cd 2.97-3.16, 1 Li 3.08
Cd 0.6785 0.7948 0.5248  4 Au 2.94-3.07, 7 Cd 2.97-3.16, 1 Li 3.08
Cd 0.7431 0.1704 0.1121  6 Cd 2.97-3.16, 5 Au 2.99-3.07, 1 Li 3.06
Cd 0.7948 0.5248 0.6785  4 Au 2.94-3.07, 7 Cd 2.97-3.16, 1 Li 3.08
Cd 0.8296 0.8879 0.2569  6 Cd 2.97-3.16, 5 Au 2.99-3.07, 1 Li 3.06
Cd 0.8879 0.2569 0.8296  6 Cd 2.97-3.16, 5 Au 2.99-3.07, 1 Li 3.06
Au 0.0555 0.3567 0.5714  9 Cd 2.94-3.07, 3 Au 3.09-3.16
Au 0.3567 0.5714 0.0555  9 Cd 2.94-3.07, 3 Au 3.09-3.16
Au 0.4286 0.9445 0.6433  9 Cd 2.94-3.07, 3 Au 3.09-3.16
Au 0.5714 0.0555 0.3567  9 Cd 2.94-3.07, 3 Au 3.09-3.16
Au 0.6433 0.4286 0.9445  9 Cd 2.94-3.07, 3 Au 3.09-3.16
Au 0.9445 0.6433 0.4286  9 Cd 2.94-3.07, 3 Au 3.09-3.16

=====

VASP calculation (PBE) on crystalline Li7Cd3Au at its relaxed geometry.

Output
Its crystal system is orthorhombic.

a b c (Å): 9.4074 9.4074 15.0630
angles (deg): 90.00 90.00 161.93
Closest atoms and distances in Å follow each position.
Atoms (fractional coordinates):
Li 0.0207 0.9793 0.5952  1 Li 2.62, 2 Au 2.80, 2 Cd 2.87
Li 0.0207 0.9793 0.9048  1 Li 2.62, 2 Au 2.80, 2 Cd 2.87
Li 0.1085 0.8915 0.1650  2 Li 2.56-2.62, 2 Au 2.76, 2 Cd 2.79
Li 0.1085 0.8915 0.3350  2 Li 2.56-2.62, 2 Au 2.76, 2 Cd 2.79
Li 0.1235 0.8765 0.7500  2 Au 2.79, 1 Cd 2.88, 4 Li 2.95-3.01
Li 0.2528 0.7472 0.0912  5 Cd 2.76-3.09, 3 Li 2.90-2.95
Li 0.2528 0.7472 0.4088  5 Cd 2.76-3.09, 3 Li 2.90-2.95
Li 0.7472 0.2528 0.5912  5 Cd 2.76-3.09, 3 Li 2.90-2.95
Li 0.7472 0.2528 0.9088  5 Cd 2.76-3.09, 3 Li 2.90-2.95
Li 0.8765 0.1235 0.2500  2 Au 2.79, 1 Cd 2.88, 4 Li 2.95-3.01
Li 0.8915 0.1085 0.6650  2 Li 2.56-2.62, 2 Au 2.76, 2 Cd 2.79
Li 0.8915 0.1085 0.8350  2 Li 2.56-2.62, 2 Au 2.76, 2 Cd 2.79
Li 0.9793 0.0207 0.0952  1 Li 2.62, 2 Au 2.80, 2 Cd 2.87
Li 0.9793 0.0207 0.4048  1 Li 2.62, 2 Au 2.80, 2 Cd 2.87
Cd 0.2784 0.7216 0.7500  9 Li 2.87-2.88, 2 Cd 2.95
Cd 0.3772 0.6228 0.5091  7 Li 2.76-3.09, 2 Cd 2.95
Cd 0.3772 0.6228 0.9909  7 Li 2.76-3.09, 2 Cd 2.95
Cd 0.6228 0.3772 0.0091  7 Li 2.76-3.09, 2 Cd 2.95
Cd 0.6228 0.3772 0.4909  7 Li 2.76-3.09, 2 Cd 2.95
Cd 0.7216 0.2784 0.2500  9 Li 2.87-2.88, 2 Cd 2.95
Au 0.4963 0.5037 0.7500  10 Li 2.76-2.80, 2 Au 2.95
Au 0.5037 0.4963 0.2500  10 Li 2.76-2.80, 2 Au 2.95

=====

VASP calculation (PBE) on crystalline Li6CdAu8 at its relaxed geometry.

Output
Its crystal system is trigonal.

a b c (Å): 7.1743 7.1743 7.1743
angles (deg): 59.83 59.83 59.83
Closest atoms and distances in Å follow each position.
Atoms (fractional coordinates):
Li 0.0273 0.5136 0.2939  6 Au 2.68-2.97, 1 Li 2.70, 1 Cd 3.00
Li 0.2939 0.0273 0.5136  6 Au 2.68-2.97, 1 Li 2.70, 1 Cd 3.00
Li 0.4864 0.7061 0.9727  6 Au 2.68-2.97, 1 Li 2.70, 1 Cd 3.00
Li 0.5136 0.2939 0.0273  6 Au 2.68-2.97, 1 Li 2.70, 1 Cd 3.00
Li 0.7061 0.9727 0.4864  6 Au 2.68-2.97, 1 Li 2.70, 1 Cd 3.00
Li 0.9727 0.4864 0.7061  6 Au 2.68-2.97, 1 Li 2.70, 1 Cd 3.00
Cd 0.0000 0.0000 0.0000  6 Au 2.83, 6 Li 3.00
Au 0.1391 0.6463 0.8394  4 Li 2.68-2.97, 4 Au 2.82-2.97, 1 Cd 2.83
Au 0.1606 0.8609 0.3537  4 Li 2.68-2.97, 4 Au 2.82-2.97, 1 Cd 2.83
Au 0.3537 0.1606 0.8609  4 Li 2.68-2.97, 4 Au 2.82-2.97, 1 Cd 2.83
Au 0.3947 0.3947 0.3947  6 Li 2.69-2.70, 3 Au 2.82
Au 0.6053 0.6053 0.6053  6 Li 2.69-2.70, 3 Au 2.82
Au 0.6463 0.8394 0.1391  4 Li 2.68-2.97, 4 Au 2.82-2.97, 1 Cd 2.83
Au 0.8394 0.1391 0.6463  4 Li 2.68-2.97, 4 Au 2.82-2.97, 1 Cd 2.83
Au 0.8609 0.3537 0.1606  4 Li 2.68-2.97, 4 Au 2.82-2.97, 1 Cd 2.83

=====

VASP calculation (PBE) on crystalline Li5CdAu8 at its relaxed geometry.

Output
Its crystal system is tetragonal.

a b c (Å): 6.8285 6.8285 6.8285
angles (deg): 109.45 109.45 109.51
Closest atoms and distances in Å follow each position.
Atoms (fractional coordinates):
Li 0.0000 0.0000 0.0000  8 Au 2.49-2.78
Li 0.1911 0.5377 0.9076  8 Au 2.68-2.82
Li 0.4623 0.3700 0.6534  8 Au 2.68-2.82
Li 0.6300 0.2835 0.0924  8 Au 2.68-2.82
Li 0.7165 0.8089 0.3466  8 Au 2.68-2.82
Cd 0.2500 0.7500 0.5000  8 Au 2.82-2.99
Au 0.1563 0.0989 0.7433  4 Li 2.49-2.72
Au 0.3556 0.4130 0.2567  4 Li 2.49-2.72
Au 0.4174 0.0081 0.2591  5 Li 2.75-2.82, 4 Au 2.86-3.02, 1 Cd 2.99
Au 0.5870 0.8437 0.9425  4 Li 2.49-2.72
Au 0.7489 0.1583 0.7409  5 Li 2.75-2.82, 4 Au 2.86-3.02, 1 Cd 2.99
Au 0.8417 0.5826 0.5906  5 Li 2.75-2.82, 4 Au 2.86-3.02, 1 Cd 2.99
Au 0.9011 0.6444 0.0575  4 Li 2.49-2.72
Au 0.9919 0.2511 0.4094  5 Li 2.75-2.82, 4 Au 2.86-3.02, 1 Cd 2.99

=====

Energy of formation from the pure elements (computed, eV/f.u.): -3.44; -2.17; -2.46; -2.47; -5.60; -4.73
Raw total energy (computed, eV/atom): -2.450; -2.694; -1.843; -1.990; -2.948; -2.959